Computed, not measured: a relaxed structure of LiTmThS4 at the PBE level of DFT.

Summary:
SG ... Imma, No. 74
Energy relative to the elements, uncorrected ... -1.869 eV/atom
E ... -6.20 eV per atom
M_tot ... 0.00 μB/f.u.

Unit cell a=7.7965 b=8.0249 c=8.0249 alpha=62.32 beta=60.94 gamma=60.94
With the nearest neighbours (Å) after each atom.
Element x y z (fractional)
S (0.2315, 0.7586, 0.2586)  1 Li 2.58, 1 Tm 2.73, 2 Th 2.80
Li (0.6330, 0.6170, 0.1170)  4 S 2.58-2.65
Tm (0.5000, 0.0000, 0.5000)  6 S 2.72-2.73
S (0.2452, 0.2325, 0.2771)  1 Li 2.65, 2 Tm 2.72, 1 Th 2.78
S (0.7513, 0.7586, 0.2586)  1 Li 2.58, 1 Tm 2.73, 2 Th 2.80
S (0.2487, 0.2414, 0.7414)  1 Li 2.58, 1 Tm 2.73, 2 Th 2.80
S (0.7685, 0.2414, 0.7414)  1 Li 2.58, 1 Tm 2.73, 2 Th 2.80
Tm (0.0000, 0.0000, 0.5000)  6 S 2.72-2.73
S (0.7548, 0.7675, 0.7229)  1 Li 2.65, 2 Tm 2.72, 1 Th 2.78
Th (0.0000, 0.0000, 0.0000)  6 S 2.78-2.80
Li (0.3670, 0.3830, 0.8830)  4 S 2.58-2.65
S (0.7548, 0.2229, 0.2675)  1 Li 2.65, 2 Tm 2.72, 1 Th 2.78
Th (0.0000, 0.5000, 0.5000)  6 S 2.78-2.80
S (0.2452, 0.7771, 0.7325)  1 Li 2.65, 2 Tm 2.72, 1 Th 2.78